Arrangement i

An optimized crystal structure of CaCoOs. Source: Alexandria via LeMat-Bulk, functional PBE-GGA.

Computed properties:
total magnetization: 6.34 μB per cell
calculated density: 9.4 g/cm³

```
data_CaCoOs
_symmetry_space_group_name_H-M 'I m m a'
_symmetry_Int_Tables_number 74
_symmetry_space_group_name_Hall '-I 2b 2'
_cell_length_a 5.0632
_cell_length_b 5.3824
_cell_length_c 7.4738
_cell_angle_alpha 90.00
_cell_angle_beta 90.00
_cell_angle_gamma 90.00
loop_
_atom_site_label
_atom_site_type_symbol
_atom_site_fract_x
_atom_site_fract_y
_atom_site_fract_z
Ca1 Ca 0.0000 0.2500 0.1239
Co1 Co 0.0000 0.0000 0.5000
Os1 Os 0.2500 0.2500 0.7500
```

Arrangement ii

An optimized crystal structure of CaCoOs. Source: Alexandria via LeMat-Bulk, functional PBE-GGA.

Computed properties:
total magnetization: 0.00 μB per cell
calculated density: 9.1 g/cm³

```
data_CaCoOs
_symmetry_space_group_name_H-M 'I m m 2'
_symmetry_Int_Tables_number 44
_cell_length_a 2.7287
_cell_length_b 3.7004
_cell_length_c 10.4858
_cell_angle_alpha 90.00
_cell_angle_beta 90.00
_cell_angle_gamma 90.00
loop_
_symmetry_equiv_pos_as_xyz
'x,y,z'
'-x,-y,z'
'-x,y,z'
'x,-y,z'
'x+1/2,y+1/2,z+1/2'
'-x+1/2,-y+1/2,z+1/2'
'-x+1/2,y+1/2,z+1/2'
'x+1/2,-y+1/2,z+1/2'
loop_
_atom_site_label
_atom_site_type_symbol
_atom_site_fract_x
_atom_site_fract_y
_atom_site_fract_z
Ca1 Ca 0.0000 0.0000 0.0000
Co1 Co 0.0000 0.0000 0.7105
Os1 Os 0.0000 0.0000 0.2860
```

Arrangement iii

An optimized crystal structure of CaCoOs. Source: Alexandria via LeMat-Bulk, functional PBE-GGA.

Computed properties:
total magnetization: 8.00 μB per cell
calculated density: 8.6 g/cm³

```
data_CaCoOs
_symmetry_space_group_name_H-M 'F -4 3 m'
_symmetry_Int_Tables_number 216
_symmetry_space_group_name_Hall 'F -4 2 3'
_cell_length_a 6.0669
_cell_length_b 6.0669
_cell_length_c 6.0669
_cell_angle_alpha 90.00
_cell_angle_beta 90.00
_cell_angle_gamma 90.00
loop_
_atom_site_label
_atom_site_type_symbol
_atom_site_fract_x
_atom_site_fract_y
_atom_site_fract_z
Ca1 Ca 0.0000 0.0000 0.0000
Co1 Co 0.2500 0.2500 0.7500
Os1 Os 0.0000 0.0000 0.5000
```

Arrangement iv

An optimized crystal structure of CaCoOs. Source: Alexandria via LeMat-Bulk, functional PBE-GGA.

Computed properties:
total magnetization: 0.44 μB per cell
calculated density: 8.5 g/cm³

```
data_CaCoOs
_symmetry_space_group_name_H-M 'P 1 m 1'
_symmetry_Int_Tables_number 6
_cell_length_a 5.0314
_cell_length_b 4.2127
_cell_length_c 5.5095
_cell_angle_alpha 90.00
_cell_angle_beta 104.64
_cell_angle_gamma 90.00
loop_
_symmetry_equiv_pos_as_xyz
'x,y,z'
'x,-y,z'
loop_
_atom_site_label
_atom_site_type_symbol
_atom_site_fract_x
_atom_site_fract_y
_atom_site_fract_z
Ca1 Ca 0.0000 0.0000 0.0000
Ca2 Ca 0.4828 0.5000 0.8799
Co1 Co 0.3669 0.5000 0.3734
Co2 Co 0.6238 0.0000 0.4674
Os1 Os 0.1598 0.0000 0.5191
Os2 Os 0.8694 0.5000 0.4310
```

arrangement i is favored, and the nearest alternative lies 59 meV per atom above it.

Arrangement i

An optimized crystal structure of CaCoOs. Source: Alexandria via LeMat-Bulk, functional PBE-GGA.

Computed properties:
total magnetization: 0.00 μB per cell
calculated density: 9.6 g/cm³

```
data_CaCoOs
_symmetry_space_group_name_H-M 'I 4 m m'
_symmetry_Int_Tables_number 107
_symmetry_space_group_name_Hall 'I 4 -2'
_cell_length_a 2.8756
_cell_length_b 2.8756
_cell_length_c 12.1544
_cell_angle_alpha 90.00
_cell_angle_beta 90.00
_cell_angle_gamma 90.00
loop_
_atom_site_label
_atom_site_type_symbol
_atom_site_fract_x
_atom_site_fract_y
_atom_site_fract_z
Ca1 Ca 0.0000 0.0000 0.0000
Co1 Co 0.0000 0.0000 0.3084
Os1 Os 0.0000 0.0000 0.6968
```

Arrangement ii

An optimized crystal structure of CaCoOs. Source: Alexandria via LeMat-Bulk, functional PBE-GGA.

Computed properties:
total magnetization: 2.93 μB per cell
calculated density: 8.9 g/cm³

```
data_CaCoOs
_symmetry_space_group_name_H-M 'I m a 2'
_symmetry_Int_Tables_number 46
_cell_length_a 4.3614
_cell_length_b 7.0163
_cell_length_c 7.0927
_cell_angle_alpha 90.00
_cell_angle_beta 90.00
_cell_angle_gamma 90.00
loop_
_symmetry_equiv_pos_as_xyz
'x,y,z'
'-x,-y,z'
'-x+1/2,y,z'
'x+1/2,-y,z'
'x+1/2,y+1/2,z+1/2'
'-x+1/2,-y+1/2,z+1/2'
'-x,y+1/2,z+1/2'
'x,-y+1/2,z+1/2'
loop_
_atom_site_label
_atom_site_type_symbol
_atom_site_fract_x
_atom_site_fract_y
_atom_site_fract_z
Ca1 Ca 0.2500 0.1758 0.0000
Co1 Co 0.2500 0.5977 0.8334
Os1 Os 0.2500 0.5855 0.1634
```

arrangement ii is favored, and the nearest alternative lies 157 meV per atom above it.

Arrangement i

An optimized crystal structure of CaCoOs. Source: Alexandria via LeMat-Bulk, functional PBE-GGA.

Computed properties:
total magnetization: 2.20 μB per cell
calculated density: 8.7 g/cm³

```
data_CaCoOs
_symmetry_space_group_name_H-M 'P 1 21/m 1'
_symmetry_Int_Tables_number 11
_cell_length_a 5.0297
_cell_length_b 4.2618
_cell_length_c 5.3119
_cell_angle_alpha 90.00
_cell_angle_beta 104.53
_cell_angle_gamma 90.00
loop_
_symmetry_equiv_pos_as_xyz
'x,y,z'
'-x,-y,-z'
'-x,y+1/2,-z'
'x,-y+1/2,z'
loop_
_atom_site_label
_atom_site_type_symbol
_atom_site_fract_x
_atom_site_fract_y
_atom_site_fract_z
Ca1 Ca 0.2470 0.2500 0.4536
Co1 Co 0.0749 0.2500 0.9324
Os1 Os 0.3677 0.7500 0.9690
```

Arrangement ii

An optimized crystal structure of CaCoOs. Source: Alexandria via LeMat-Bulk, functional PBE-GGA.

Computed properties:
total magnetization: 0.65 μB per cell
calculated density: 8.7 g/cm³

```
data_CaCoOs
_symmetry_space_group_name_H-M 'C 1 m 1'
_symmetry_Int_Tables_number 8
_cell_length_a 10.3859
_cell_length_b 4.2245
_cell_length_c 5.0536
_cell_angle_alpha 90.00
_cell_angle_beta 93.01
_cell_angle_gamma 90.00
loop_
_symmetry_equiv_pos_as_xyz
'x,y,z'
'x,-y,z'
'x+1/2,y+1/2,z'
'x+1/2,-y+1/2,z'
loop_
_atom_site_label
_atom_site_type_symbol
_atom_site_fract_x
_atom_site_fract_y
_atom_site_fract_z
Ca1 Ca 0.0000 0.0000 0.0000
Ca2 Ca 0.0429 0.5000 0.5073
Co1 Co 0.2393 0.5000 0.0082
Co2 Co 0.2765 0.0000 0.2313
Os1 Os 0.2737 0.0000 0.7541
Os2 Os 0.3084 0.5000 0.4859
```

arrangement i is favored, and the nearest alternative lies 20 meV per atom above it.